(1)
{
  "formula": "CaTl2F",
  "functional": "PBE-GGA",
  "state": "optimized geometry",
  "lattice": [[4.142, 0.000, 0.000], [0.000, 4.142, 0.000], [0.000, 0.000, 25.677]],
  "species": ["Ca", "Ca", "Ca", "Ca", "Tl", "Tl", "Tl", "Tl", "Tl", "Tl", "Tl", "Tl", "F", "F", "F", "F"],
  "frac_coords": [[0.000, 0.000, 0.000], [0.000, 0.500, 0.250], [0.500, 0.000, 0.750], [0.500, 0.500, 0.500], [0.249, 0.250, 0.125], [0.250, 0.749, 0.375], [0.250, 0.751, 0.875], [0.251, 0.250, 0.625], [0.749, 0.750, 0.625], [0.750, 0.249, 0.875], [0.750, 0.251, 0.375], [0.751, 0.750, 0.125], [0.000, 0.000, 0.500], [0.000, 0.500, 0.750], [0.500, 0.000, 0.250], [0.500, 0.500, 0.000]],
  "de_polymorph_ev_per_atom": 0.000,
  "total_energy_ev_per_cell": -50.1,
  "dos_at_fermi_per_ev_cell": 4.8,
  "space_group": "I-42d, No. 122"
}

***

(2)
{
  "formula": "Ca3Tl2F8",
  "functional": "PBE-GGA",
  "state": "optimized geometry",
  "lattice": [[6.594, -3.578, 0.000], [6.594, 3.578, 0.000], [-2.133, 0.000, 5.716]],
  "species": ["Ca", "Ca", "Ca", "Tl", "Tl", "F", "F", "F", "F", "F", "F", "F", "F"],
  "frac_coords": [[0.000, 0.000, 0.000], [0.257, 0.743, 0.500], [0.743, 0.257, 0.500], [0.291, 0.291, 0.844], [0.709, 0.709, 0.156], [0.086, 0.086, 0.400], [0.126, 0.683, 0.112], [0.317, 0.874, 0.888], [0.402, 0.402, 0.553], [0.598, 0.598, 0.447], [0.683, 0.126, 0.112], [0.874, 0.317, 0.888], [0.914, 0.914, 0.600]],
  "total_energy_ev_per_cell": -67.6,
  "dos_at_fermi_per_ev_cell": 0.0,
  "space_group": "C2/m, No. 12"
}